# PBE-GGA Tb4Zn2Hg, relaxed
data_Tb4Zn2Hg
_symmetry_space_group_name_H-M 'P 1'
_symmetry_Int_Tables_number 1
_cell_length_a 8.686
_cell_length_b 8.686
_cell_length_c 8.686
_cell_angle_alpha 34.08
_cell_angle_beta 34.08
_cell_angle_gamma 34.08
loop_
_symmetry_equiv_pos_as_xyz
'x,y,z'
loop_
_atom_site_label
_atom_site_fract_x
_atom_site_fract_y
_atom_site_fract_z
Tb1 0.117 0.117 0.117
Tb2 0.370 0.370 0.370
Tb3 0.630 0.630 0.630
Tb4 0.883 0.883 0.883
Zn1 0.249 0.249 0.249
Zn2 0.751 0.751 0.751
Hg1 0.500 0.500 0.500
# DFT total energy   -3.28 eV per atom
# Distance to the lowest polymorph of the same formula   0 kJ/mol of formula units
# Formation energy   -0.22 eV/atom
# Symmetry   R-3m, No. 166